# 1
The following is a DFT calculation (PBE) of an optimized crystal structure of Al2SiAu.

Output
crystal system: monoclinic
M_tot: 0.00 μB/f.u.
formation energy (no corrections): -2.4 kJ/mol of formula units
uncorrected energy: -32.4 eV per cell

Cell lengths 5.614, 7.624, 3.043 Å; angles 90.00, 92.24, 90.00 degrees
Space group C2/m (No. 12)
One atom of each set of equivalent atoms:
Al1 0.250 0.250 0.000 [4 per cell]
Si1 0.000 0.000 0.500 [2 per cell]
Au1 0.000 0.500 0.500 [2 per cell]

=====

# 2
The following is a DFT calculation (PBE) of an optimized crystal structure of Al2SiAu.

Output
crystal system: tetragonal
M_tot: 0.00 μB/f.u.
formation energy (no corrections): 28.9 kJ/mol of formula units
uncorrected energy: -31.8 eV per cell

Cell lengths 3.801, 3.801, 9.345 Å; angles 90.00, 90.00, 90.00 degrees
Space group I-4m2 (No. 119)
One atom of each set of equivalent atoms:
Al1 0.000 0.000 0.000 [2 per cell]
Al2 0.000 0.500 0.250 [2 per cell]
Si1 0.000 0.000 0.500 [2 per cell]
Au1 0.000 0.500 0.750 [2 per cell]

=====

# 3
The following is a DFT calculation (PBE) of an optimized crystal structure of AlSiAu2.

Output
energy above the lowest structure with this stoichiometry: 0.126 eV per atom
crystal system: monoclinic
M_tot: 0.00 μB/f.u.
formation energy (no corrections): 13.5 kJ/mol of formula units
uncorrected energy: -31.2 eV per cell

Cell lengths 5.507, 6.991, 3.572 Å; angles 90.00, 90.16, 90.00 degrees
Space group C2/m (No. 12)
One atom of each set of equivalent atoms:
Al1 0.000 0.000 0.000 [2 per cell]
Si1 0.000 0.500 0.000 [2 per cell]
Au1 0.250 0.250 0.500 [4 per cell]

=====

# 4
The following is a DFT calculation (PBE) of an optimized crystal structure of AlSiAu2.

Output
energy above the lowest structure with this stoichiometry: 0.143 eV per atom
crystal system: tetragonal
M_tot: 0.00 μB/f.u.
formation energy (no corrections): 20.2 kJ/mol of formula units
uncorrected energy: -31.0 eV per cell

Cell lengths 4.033, 4.033, 8.336 Å; angles 90.00, 90.00, 90.00 degrees
Space group I-4m2 (No. 119)
One atom of each set of equivalent atoms:
Al1 0.000 0.000 0.000 [2 per cell]
Si1 0.000 0.500 0.250 [2 per cell]
Au1 0.000 0.000 0.500 [2 per cell]
Au2 0.000 0.500 0.750 [2 per cell]

=====

# 5
The following is a DFT calculation (PBE) of an optimized crystal structure of Al2SiAu2.

Output
energy above the lowest structure with this stoichiometry: 0.000 eV per atom
crystal system: tetragonal
M_tot: 0.00 μB/f.u.
formation energy (no corrections): -24.8 kJ/mol of formula units
uncorrected energy: -39.4 eV per cell

Cell lengths 7.925, 7.925, 2.771 Å; angles 90.00, 90.00, 90.00 degrees
Space group P4/mbm (No. 127)
One atom of each set of equivalent atoms:
Al1 0.131 0.369 0.000 [4 per cell]
Si1 0.000 0.000 0.500 [2 per cell]
Au1 0.168 0.668 0.500 [4 per cell]

=====

# 6
The following is a DFT calculation (PBE) of an optimized crystal structure of Al2SiAu.

Output
crystal system: tetragonal
M_tot: 0.00 μB/f.u.
formation energy (no corrections): 18.4 kJ/mol of formula units
uncorrected energy: -16.0 eV per cell

Cell lengths 4.269, 4.269, 3.631 Å; angles 90.00, 90.00, 90.00 degrees
Space group P4/mmm (No. 123)
One atom of each set of equivalent atoms:
Al1 0.000 0.500 0.000 [2 per cell]
Si1 0.000 0.000 0.500 [1 per cell]
Au1 0.500 0.500 0.500 [1 per cell]